# 1
This record from the Alexandria database describes a relaxed structure of Y2ZnGe2. The functional is GGA-PBE.

a = 5.5904 Å, b = 5.5904 Å, c = 5.5904 Å
α = 118.67°, β = 118.67°, γ = 92.32°
Sites, in units of the cell vectors:
1 Y 0.2500 0.7500 0.5000
2 Y 0.7500 0.2500 0.5000
3 Zn 0.0000 0.0000 0.0000
4 Ge 0.3285 0.3285 0.0000
5 Ge 0.6715 0.6715 0.0000

Output
Energy of formation   -0.239 eV/atom
ρ   5.12 g/cm3
Space-group type   I4/mmm (139)
Energy   -24.6 eV/f.u.

=====

# 2
This record from the Alexandria database describes a relaxed structure of Y2Zn3Ge2. The functional is GGA-PBE.

a = 5.6304 Å, b = 5.6304 Å, c = 6.4851 Å
α = 99.67°, β = 99.67°, γ = 43.14°
Sites, in units of the cell vectors:
1 Y 0.1215 0.1215 0.3376
2 Y 0.8785 0.8785 0.6624
3 Zn 0.2084 0.2084 0.8704
4 Zn 0.5000 0.5000 0.0000
5 Zn 0.7916 0.7916 0.1296
6 Ge 0.4051 0.4051 0.3400
7 Ge 0.5949 0.5949 0.6600

Output
Energy of formation   -0.462 eV/atom
ρ   6.24 g/cm3
Space-group type   C2/m (12)
Energy   -29.2 eV/f.u.